1.
# BeTcGe2O | the Alexandria database | PBEsol | optimized geometry
# Raw formation energy   25 kJ per mole of atoms
data_BeTcGe2O
_cell_length_a 4.9006
_cell_length_b 4.9006
_cell_length_c 3.6271
_cell_angle_alpha 90.00
_cell_angle_beta 90.00
_cell_angle_gamma 90.00
_symmetry_space_group_name_H-M 'P 4/m m m'
_symmetry_Int_Tables_number 123
_symmetry_space_group_name_Hall '-P 4 2'
loop_
_atom_site_label
_atom_site_fract_x
_atom_site_fract_y
_atom_site_fract_z
Be1 0.0000 0.0000 0.0000
Tc1 0.5000 0.5000 0.5000
Ge1 0.0000 0.5000 0.5000
O1 0.5000 0.5000 0.0000

***

2.
# Zr2BeGeO | the Alexandria database | PBEsol | optimized geometry
# Raw formation energy   -63 kJ per mole of atoms
data_Zr2BeGeO
_cell_length_a 4.3165
_cell_length_b 4.3165
_cell_length_c 4.2102
_cell_angle_alpha 90.00
_cell_angle_beta 90.00
_cell_angle_gamma 90.00
_symmetry_space_group_name_H-M 'P 4/m m m'
_symmetry_Int_Tables_number 123
_symmetry_space_group_name_Hall '-P 4 2'
loop_
_atom_site_label
_atom_site_fract_x
_atom_site_fract_y
_atom_site_fract_z
Zr1 0.0000 0.5000 0.0000
Be1 0.0000 0.0000 0.5000
Ge1 0.5000 0.5000 0.5000
O1 0.5000 0.5000 0.0000

***

3.
# Be3GeP | the Alexandria database | PBEsol | optimized geometry
# Energy of formation   936 meV/atom
data_Be3GeP
_cell_length_a 4.2032
_cell_length_b 4.2032
_cell_length_c 4.2032
_cell_angle_alpha 90.00
_cell_angle_beta 90.00
_cell_angle_gamma 90.00
_symmetry_space_group_name_H-M 'P m -3 m'
_symmetry_Int_Tables_number 221
_symmetry_space_group_name_Hall '-P 4 2 3'
loop_
_atom_site_label
_atom_site_fract_x
_atom_site_fract_y
_atom_site_fract_z
Be1 0.0000 0.0000 0.5000
Ge1 0.0000 0.0000 0.0000
P1 0.5000 0.5000 0.5000

***

4.
# BeGePS2 | the Alexandria database | PBEsol | optimized geometry
# Raw formation energy   33 kJ per mole of atoms
data_BeGePS2
_cell_length_a 4.4381
_cell_length_b 4.4381
_cell_length_c 4.0655
_cell_angle_alpha 90.00
_cell_angle_beta 90.00
_cell_angle_gamma 90.00
_symmetry_space_group_name_H-M 'P 4/m m m'
_symmetry_Int_Tables_number 123
_symmetry_space_group_name_Hall '-P 4 2'
loop_
_atom_site_label
_atom_site_fract_x
_atom_site_fract_y
_atom_site_fract_z
Be1 0.0000 0.0000 0.0000
Ge1 0.5000 0.5000 0.5000
P1 0.0000 0.0000 0.5000
S1 0.0000 0.5000 0.0000

***

5.
# BeTcGe2P | the Alexandria database | PBEsol | optimized geometry
# Energy of formation   841 meV/atom
data_BeTcGe2P
_cell_length_a 4.6938
_cell_length_b 4.6938
_cell_length_c 4.2913
_cell_angle_alpha 90.00
_cell_angle_beta 90.00
_cell_angle_gamma 90.00
_symmetry_space_group_name_H-M 'P 4/m m m'
_symmetry_Int_Tables_number 123
_symmetry_space_group_name_Hall '-P 4 2'
loop_
_atom_site_label
_atom_site_fract_x
_atom_site_fract_y
_atom_site_fract_z
Be1 0.0000 0.0000 0.0000
Tc1 0.0000 0.0000 0.5000
Ge1 0.0000 0.5000 0.5000
P1 0.5000 0.5000 0.0000

***

6.
# Be3GePb | the Alexandria database | PBEsol | optimized geometry
# Energy of formation   1415 meV/atom
data_Be3GePb
_cell_length_a 4.6047
_cell_length_b 4.6047
_cell_length_c 4.6047
_cell_angle_alpha 90.00
_cell_angle_beta 90.00
_cell_angle_gamma 90.00
_symmetry_space_group_name_H-M 'P m -3 m'
_symmetry_Int_Tables_number 221
_symmetry_space_group_name_Hall '-P 4 2 3'
loop_
_atom_site_label
_atom_site_fract_x
_atom_site_fract_y
_atom_site_fract_z
Be1 0.0000 0.0000 0.5000
Ge1 0.5000 0.5000 0.5000
Pb1 0.0000 0.0000 0.0000

***

7.
# BeGe3Rh | the Alexandria database | PBEsol | optimized geometry
# Energy of formation   648 meV/atom
data_BeGe3Rh
_cell_length_a 4.6958
_cell_length_b 4.6958
_cell_length_c 4.6958
_cell_angle_alpha 90.00
_cell_angle_beta 90.00
_cell_angle_gamma 90.00
_symmetry_space_group_name_H-M 'P m -3 m'
_symmetry_Int_Tables_number 221
_symmetry_space_group_name_Hall '-P 4 2 3'
loop_
_atom_site_label
_atom_site_fract_x
_atom_site_fract_y
_atom_site_fract_z
Be1 0.0000 0.0000 0.0000
Ge1 0.0000 0.5000 0.5000
Rh1 0.5000 0.5000 0.5000

***

8.
# Be2GeRu2 | the Alexandria database | PBEsol | optimized geometry
# Energy of formation   -216 meV/atom
data_Be2GeRu2
_cell_length_a 6.2496
_cell_length_b 6.2496
_cell_length_c 3.0618
_cell_angle_alpha 90.00
_cell_angle_beta 90.00
_cell_angle_gamma 90.00
_symmetry_space_group_name_H-M 'P 4/m b m'
_symmetry_Int_Tables_number 127
_symmetry_space_group_name_Hall '-P 4 2ab'
loop_
_atom_site_label
_atom_site_fract_x
_atom_site_fract_y
_atom_site_fract_z
Be1 0.1334 0.3666 0.0000
Ge1 0.0000 0.0000 0.5000
Ru1 0.1570 0.6570 0.5000

***

9.
# Be2Ge2S | the Alexandria database | PBEsol | optimized geometry
# Raw formation energy   47 kJ per mole of atoms
data_Be2Ge2S
_cell_length_a 3.8376
_cell_length_b 3.8376
_cell_length_c 10.0797
_cell_angle_alpha 90.00
_cell_angle_beta 90.00
_cell_angle_gamma 90.00
_symmetry_space_group_name_H-M 'I 4/m m m'
_symmetry_Int_Tables_number 139
_symmetry_space_group_name_Hall '-I 4 2'
loop_
_atom_site_label
_atom_site_fract_x
_atom_site_fract_y
_atom_site_fract_z
Be1 0.0000 0.5000 0.2500
Ge1 0.0000 0.0000 0.1180
S1 0.0000 0.0000 0.5000

***

10.
# BeGe3Sb | the Alexandria database | PBEsol | optimized geometry
# Raw formation energy   36 kJ per mole of atoms
data_BeGe3Sb
_cell_length_a 4.5507
_cell_length_b 4.5507
_cell_length_c 4.5507
_cell_angle_alpha 90.00
_cell_angle_beta 90.00
_cell_angle_gamma 90.00
_symmetry_space_group_name_H-M 'P m -3 m'
_symmetry_Int_Tables_number 221
_symmetry_space_group_name_Hall '-P 4 2 3'
loop_
_atom_site_label
_atom_site_fract_x
_atom_site_fract_y
_atom_site_fract_z
Be1 0.0000 0.0000 0.0000
Ge1 0.0000 0.0000 0.5000
Sb1 0.5000 0.5000 0.5000

***

11.
# Be3GeSb | the Alexandria database | PBEsol | optimized geometry
# Raw formation energy   74 kJ per mole of atoms
data_Be3GeSb
_cell_length_a 4.3278
_cell_length_b 4.3278
_cell_length_c 4.3278
_cell_angle_alpha 90.00
_cell_angle_beta 90.00
_cell_angle_gamma 90.00
_symmetry_space_group_name_H-M 'P m -3 m'
_symmetry_Int_Tables_number 221
_symmetry_space_group_name_Hall '-P 4 2 3'
loop_
_atom_site_label
_atom_site_fract_x
_atom_site_fract_y
_atom_site_fract_z
Be1 0.0000 0.0000 0.5000
Ge1 0.0000 0.0000 0.0000
Sb1 0.5000 0.5000 0.5000

***

12.
# BeGeSbTe2 | the Alexandria database | PBEsol | optimized geometry
# Raw formation energy   99 kJ per mole of atoms
data_BeGeSbTe2
_cell_length_a 5.3289
_cell_length_b 5.3289
_cell_length_c 5.2017
_cell_angle_alpha 90.00
_cell_angle_beta 90.00
_cell_angle_gamma 90.00
_symmetry_space_group_name_H-M 'P 4/m m m'
_symmetry_Int_Tables_number 123
_symmetry_space_group_name_Hall '-P 4 2'
loop_
_atom_site_label
_atom_site_fract_x
_atom_site_fract_y
_atom_site_fract_z
Be1 0.0000 0.0000 0.0000
Ge1 0.5000 0.5000 0.5000
Sb1 0.5000 0.5000 0.0000
Te1 0.0000 0.5000 0.5000

***

13.
# BeGeSb2Te | the Alexandria database | PBEsol | optimized geometry
# Raw formation energy   106 kJ per mole of atoms
data_BeGeSb2Te
_cell_length_a 5.2298
_cell_length_b 5.2298
_cell_length_c 5.3370
_cell_angle_alpha 90.00
_cell_angle_beta 90.00
_cell_angle_gamma 90.00
_symmetry_space_group_name_H-M 'P 4/m m m'
_symmetry_Int_Tables_number 123
_symmetry_space_group_name_Hall '-P 4 2'
loop_
_atom_site_label
_atom_site_fract_x
_atom_site_fract_y
_atom_site_fract_z
Be1 0.0000 0.0000 0.0000
Ge1 0.5000 0.5000 0.5000
Sb1 0.0000 0.5000 0.5000
Te1 0.5000 0.5000 0.0000

***

14.
# Sc3BeGe | the Alexandria database | PBEsol | optimized geometry
# Energy of formation   314 meV/atom
data_Sc3BeGe
_cell_length_a 4.9694
_cell_length_b 4.9694
_cell_length_c 4.9694
_cell_angle_alpha 90.00
_cell_angle_beta 90.00
_cell_angle_gamma 90.00
_symmetry_space_group_name_H-M 'P m -3 m'
_symmetry_Int_Tables_number 221
_symmetry_space_group_name_Hall '-P 4 2 3'
loop_
_atom_site_label
_atom_site_fract_x
_atom_site_fract_y
_atom_site_fract_z
Sc1 0.0000 0.0000 0.5000
Be1 0.5000 0.5000 0.5000
Ge1 0.0000 0.0000 0.0000

***

no.,calculated total energy (eV per atom)
1,-5.820
2,-7.131
3,-3.610
4,-4.361
5,-5.346
6,-2.773
7,-4.743
8,-6.872
9,-3.963
10,-4.297
11,-3.530
12,-3.088
13,-3.220
14,-5.437